The following is a GGA+U calculation of an optimized crystal structure of Ti2CoO5, from Alexandria via LeMat-Bulk.

The value obtained for the total energy is -8.2653 eV/atom. The density of states at the Fermi level comes out at 0.000 states/eV/f.u.

The structure belongs to space group Cmcm (No. 63); the cell edges are 3.748, 9.820 and 10.200 Å and the angles 90.00°, 90.00° and 90.00°. The inequivalent atoms are Ti at (0.000, 0.134, 0.068), Co at (0.000, 0.190, 0.750), O at (0.000, 0.046, 0.612), O at (0.000, 0.214, 0.250) and O at (0.000, 0.314, 0.561).